## YTiO2 (SCAN)

Data for a crystal of YTiO2 relaxed with PBEsol.

Cell lengths 4.8563, 4.8563, 6.0310 Å; angles 113.74, 113.74, 90.00 degrees
Closest atoms and distances in Å follow each position.
Atoms (fractional coordinates):
Ti (0.5000, 0.5000, 0.0000)  4 O 2.00
O (0.8312, 0.3750, 0.2500)  2 Ti 2.00
O (0.1250, 0.1688, 0.7500)  2 Ti 2.00
Y (0.2500, 0.7500, 0.5000)  4 O 2.25
O (0.4188, 0.8750, 0.2500)  2 Ti 2.00
Ti (0.7500, 0.2500, 0.5000)  4 O 2.00
Y (0.0000, 0.0000, 0.0000)  4 O 2.25
O (0.6250, 0.5812, 0.7500)  2 Ti 2.00

## Properties
N(E_F) (states/eV/cell): 5.35
ΔE_f (raw) (kJ/mol of formula units): -1004